! PBE-GGA TaV2Ir2, optimized geometry; values from VASP
&SYSTEM
  ibrav = 0, nat = 10, ntyp = 3
/
ATOMIC_SPECIES
V 50.94 V.upf
Ir 192.22 Ir.upf
Ta 180.95 Ta.upf
ATOMIC_POSITIONS angstrom
V -3.820 -6.621 2.252
V -1.604 -1.597 2.098
Ir -5.758 -5.030 1.930
Ir -4.187 -1.297 1.854
V -0.512 -5.119 0.878
Ta -3.335 -3.872 0.935
Ta 0.000 0.000 0.000
Ir -0.912 -2.714 -0.060
Ir -2.482 -6.447 0.016
V -4.912 -3.098 3.472
CELL_PARAMETERS angstrom
-6.589 -0.521 3.208
-0.081 -7.223 -1.338
1.245 -0.473 2.480
! Distance to the lowest polymorph of the same formula   0.000 eV/f.u.
! E_tot   -0.3639 Ha/atom
! Calculated formation energy   -0.34 eV per atom